No. 1
Material: TlCdBr2
Method: DFT, PBE-GGA
State: optimized geometry

Calculated values
As for the total magnetization: 0.0 μB per formula unit. As for the crystal system: monoclinic. The value obtained for the uncorrected energy is -8.909 eV per cell. For the density of states at the Fermi level, the calculation gives 0.8 states/eV/cell. The calculation puts the formation energy without anion corrections at -0.570 eV per atom. As for the relative energy among the computed polymorphs: 18 meV/atom.

a b c (Å): 5.526 4.168 6.507
angles (deg): 70.97 90.00 90.00
Element x y z (fractional)
Br: 0.000 0.091 0.950
Br: 0.500 0.366 0.395
Tl: 0.500 0.642 0.832
Cd: 0.000 0.401 0.323

=====

No. 2
Material: Tl3CdBr4
Method: DFT, PBE-GGA
State: optimized geometry

Calculated values
As for the total magnetization: 0.0 μB per formula unit. As for the crystal system: orthorhombic. The value obtained for the uncorrected energy is -40.183 eV per cell. For the density of states at the Fermi level, the calculation gives 6.0 states/eV/cell. The calculation puts the formation energy without anion corrections at -0.673 eV per atom.

a b c (Å): 6.533 9.629 11.217
angles (deg): 90.00 90.00 90.00
Element x y z (fractional)
Cd: 0.064 0.181 0.000
Cd: 0.564 0.819 0.500
Br: 0.564 0.677 0.742
Br: 0.064 0.816 0.500
Br: 0.064 0.323 0.242
Br: 0.065 0.870 0.000
Br: 0.064 0.323 0.758
Br: 0.564 0.677 0.258
Br: 0.564 0.184 0.000
Br: 0.565 0.130 0.500
Tl: 0.564 0.331 0.742
Tl: 0.064 0.669 0.758
Tl: 0.065 0.154 0.500
Tl: 0.564 0.331 0.258
Tl: 0.064 0.669 0.242
Tl: 0.565 0.846 0.000

=====

No. 3
Material: TlCdBr2
Method: DFT, PBE-GGA
State: optimized geometry

Calculated values
As for the total magnetization: 0.0 μB per formula unit. As for the crystal system: monoclinic. The value obtained for the uncorrected energy is -8.567 eV per cell. For the density of states at the Fermi level, the calculation gives 1.5 states/eV/cell. The calculation puts the formation energy without anion corrections at -0.485 eV per atom. As for the relative energy among the computed polymorphs: 104 meV/atom.

a b c (Å): 8.244 5.615 3.951
angles (deg): 83.14 71.55 128.51
Element x y z (fractional)
Br: 0.500 0.000 0.500
Br: 0.000 0.000 0.000
Tl: 0.500 0.500 0.000
Cd: 0.000 0.500 0.500

=====

No. 4
Material: TlCdBr3
Method: DFT, PBE-GGA
State: optimized geometry

Calculated values
As for the total magnetization: 0.0 μB per formula unit. As for the crystal system: cubic. The value obtained for the uncorrected energy is -12.201 eV per cell. The calculation puts the formation energy without anion corrections at -0.780 eV per atom. As for the relative energy among the computed polymorphs: 81 meV/atom.

a b c (Å): 5.526 5.526 5.526
angles (deg): 90.00 90.00 90.00
Element x y z (fractional)
Br: 0.000 0.000 0.500
Br: 0.500 0.000 0.000
Br: 0.000 0.500 0.000
Cd: 0.000 0.000 0.000
Tl: 0.500 0.500 0.500

=====

No. 5
Material: Tl2CdBr4
Method: DFT, PBE-GGA
State: optimized geometry

Calculated values
As for the total magnetization: 0.0 μB per formula unit. As for the crystal system: monoclinic. The value obtained for the uncorrected energy is -18.259 eV per cell. For the density of states at the Fermi level, the calculation gives 0.0 states/eV/cell. The calculation puts the formation energy without anion corrections at -0.846 eV per atom. As for the relative energy among the computed polymorphs: 6 meV/atom.

a b c (Å): 4.274 8.948 8.714
angles (deg): 130.21 104.20 90.00
Element x y z (fractional)
Br: 0.040 0.751 0.080
Br: 0.960 0.249 0.920
Br: 0.652 0.234 0.304
Br: 0.348 0.766 0.696
Tl: 0.355 0.402 0.710
Tl: 0.645 0.598 0.290
Cd: 0.000 0.000 0.000

=====

No. 6
Material: TlCdBr6
Method: DFT, PBE-GGA
State: optimized geometry

Calculated values
As for the total magnetization: 0.0 μB per formula unit. As for the crystal system: monoclinic. The value obtained for the uncorrected energy is -16.708 eV per cell. For the density of states at the Fermi level, the calculation gives 2.8 states/eV/cell. The calculation puts the formation energy without anion corrections at -0.424 eV per atom.

a b c (Å): 10.391 8.041 5.950
angles (deg): 47.49 65.13 51.51
Element x y z (fractional)
Cd: 0.000 0.000 0.000
Br: 0.775 0.839 0.365
Br: 0.202 0.522 0.000
Br: 0.225 0.161 0.635
Br: 0.225 0.796 0.365
Br: 0.775 0.204 0.635
Br: 0.798 0.478 0.000
Tl: 0.500 0.000 0.000

=====

No. 7
Material: Tl4CdBr6
Method: DFT, PBE-GGA
State: optimized geometry

Calculated values
As for the total magnetization: 0.0 μB per formula unit. As for the crystal system: tetragonal. The value obtained for the uncorrected energy is -59.658 eV per cell. For the density of states at the Fermi level, the calculation gives 0.0 states/eV/cell. The calculation puts the formation energy without anion corrections at -0.856 eV per atom.

a b c (Å): 8.899 8.899 9.470
angles (deg): 90.00 90.00 90.00
Element x y z (fractional)
Br: 0.871 0.700 0.500
Br: 0.371 0.800 0.000
Br: 0.500 0.500 0.287
Br: 0.500 0.500 0.713
Br: 0.000 0.000 0.787
Br: 0.629 0.200 0.000
Br: 0.200 0.371 0.000
Br: 0.000 0.000 0.213
Br: 0.300 0.871 0.500
Br: 0.700 0.129 0.500
Br: 0.129 0.300 0.500
Br: 0.800 0.629 0.000
Cd: 0.000 0.000 0.500
Cd: 0.500 0.500 0.000
Tl: 0.157 0.657 0.750
Tl: 0.657 0.843 0.250
Tl: 0.343 0.157 0.250
Tl: 0.843 0.343 0.750
Tl: 0.843 0.343 0.250
Tl: 0.157 0.657 0.250
Tl: 0.657 0.843 0.750
Tl: 0.343 0.157 0.750

=====

No. 8
Material: UTl2CdBr8
Method: DFT, PBE-GGA
State: optimized geometry

Calculated values
As for the total magnetization: 2.0 μB per formula unit. As for the crystal system: monoclinic. The value obtained for the uncorrected energy is -42.569 eV per cell. For the density of states at the Fermi level, the calculation gives 6.5 states/eV/cell. The calculation puts the formation energy without anion corrections at -1.021 eV per atom.

a b c (Å): 7.390 7.054 8.994
angles (deg): 90.00 90.01 93.66
Site moments in Bohr magnetons follow the coordinates.
Element x y z (fractional)
Cd: 0.000 0.000 0.000  0.00
Br: 0.128 0.772 0.273  -0.03
Br: 0.304 0.199 0.000  0.00
Br: 0.330 0.215 0.500  -0.02
Br: 0.128 0.772 0.728  -0.03
Br: 0.872 0.228 0.727  -0.03
Br: 0.670 0.785 0.500  -0.02
Br: 0.872 0.228 0.272  -0.03
Br: 0.696 0.801 0.000  0.00
Tl: 0.500 0.500 0.760  0.00
Tl: 0.500 0.500 0.240  0.00
U: 0.000 0.000 0.500  2.10

=====

> Among the records above, which one has the lowest uncorrected energy?

Tl4CdBr6

=====

> What is the formula in the seventh record?

Tl4CdBr6

=====

> The highest uncorrected energy belongs to which entry?

number 3

=====

> The lowest uncorrected energy belongs to which entry?

Tl4CdBr6